BaScPb: relaxed, PBE.

excess energy over the best structure of this formula in the dataset: 2.86 eV/f.u.
formation energy: 49.86 kJ/mol of atoms

```
BaScPb
1.0
-1.290 2.213 4.891
-1.783 -3.230 4.108
3.225 -0.923 4.385
Pb Sc Ba
1 1 1
Cartesian
0.000 0.000 0.000 Pb
0.076 -0.970 6.692 Sc
0.114 -1.454 10.038 Ba
```


PmNpPt2: relaxed, PBE.

excess energy over the best structure of this formula in the dataset: 0.05 eV/f.u.
formation energy: -69.37 kJ/mol of atoms

```
PmNpPt2
1.0
-2.924 0.157 -1.839
0.791 -4.716 -1.660
-2.584 -1.824 3.952
Pm Pt Np
1 2 1
Cartesian
-1.462 0.079 -0.920 Pm
0.395 -2.358 -0.830 Pt
-1.292 -0.912 1.976 Pt
-2.358 -3.192 0.226 Np
```


PmY6Se8: relaxed, PBE.

excess energy over the best structure of this formula in the dataset: 0.00 eV/f.u.
formation energy (no corrections): -1.84 eV per atom

```
PmY6Se8
1.0
7.063 0.000 4.078
2.354 6.659 4.078
0.000 0.000 8.155
Se Pm Y
8 1 6
Cartesian
3.570 4.940 10.128 Se
3.570 4.940 6.183 Se
7.063 4.994 12.233 Se
2.354 1.665 4.078 Se
6.986 4.940 8.155 Se
5.847 1.719 6.183 Se
5.847 1.719 10.128 Se
2.431 1.719 8.155 Se
0.000 0.000 0.000 Pm
0.000 0.000 4.078 Y
4.708 3.329 4.078 Y
3.531 0.000 6.116 Y
1.177 3.329 6.116 Y
1.177 3.329 2.039 Y
3.531 0.000 2.039 Y
```


Sr3CdGa3: relaxed, PBE.

formation energy: -38.79 kJ/mol of atoms

```
Sr3CdGa3
1.0
-2.482 1.697 3.778
-5.917 1.543 -1.495
-5.787 -12.821 5.044
Cd Ga Sr
2 6 6
Cartesian
-4.752 -3.675 4.700 Cd
-9.433 -5.906 2.627 Cd
-8.754 0.052 3.482 Ga
-5.431 -9.632 3.844 Ga
-4.724 -5.230 2.332 Ga
-9.462 -4.350 4.995 Ga
-3.351 0.724 3.645 Ga
-10.835 -10.304 3.682 Ga
-6.127 1.156 1.627 Sr
-8.059 -10.736 5.700 Sr
-6.721 -6.556 4.701 Sr
-10.666 -7.505 5.621 Sr
-7.464 -3.024 2.626 Sr
-3.520 -2.075 1.706 Sr
```


SrLa2Sb: relaxed, PBE.

formation energy (no corrections): -0.36 eV per atom

```
SrLa2Sb
1.0
-3.468 3.422 -3.332
1.327 -1.812 -3.242
-4.239 -4.449 -0.157
Sr La Sb
1 2 1
Cartesian
-3.918 -2.985 -4.215 Sr
-0.052 -0.307 -0.261 La
-1.403 -2.823 -1.438 La
-2.462 0.145 -2.516 Sb
```


LiAc3In: relaxed, PBE.

excess energy over the best structure of this formula in the dataset: 0.88 eV/f.u.
formation energy: 1.62 kJ/mol of atoms

```
LiAc3In
1.0
-3.033 4.238 0.347
-6.193 -4.493 0.747
1.147 0.028 9.680
Li In Ac
2 2 6
Cartesian
-1.629 -0.047 5.991 Li
-6.450 -0.180 4.783 Li
-4.449 -2.287 8.701 In
-3.631 2.060 2.072 In
-3.465 -1.148 3.388 Ac
-6.855 -0.190 1.368 Ac
-4.614 0.921 7.385 Ac
-7.626 -1.265 7.748 Ac
-1.224 -0.038 9.406 Ac
-0.453 1.037 3.025 Ac
```


AcPuThTl: relaxed, PBE.

formation energy: 25.23 kJ/mol of atoms

```
AcPuThTl
1.0
-4.880 0.825 -2.701
-3.410 -4.364 -1.057
-4.880 -0.502 2.779
Th Tl Pu Ac
1 1 1 1
Cartesian
-6.585 -2.020 -0.489 Th
-3.293 -1.010 -0.245 Tl
0.000 0.000 0.000 Pu
-9.878 -3.030 -0.734 Ac
```


Sr2CoP: relaxed, PBE.

formation energy: -2.08 kJ/mol of atoms

```
Sr2CoP
1.0
3.363 0.364 0.000
-0.402 3.358 0.000
0.000 0.000 8.760
P Sr Co
1 2 1
Cartesian
1.480 1.861 5.843 P
0.000 0.000 7.984 Sr
1.480 1.861 2.872 Sr
0.000 0.000 5.202 Co
```


K2CoSn2: relaxed, PBE.

formation energy: 11.64 kJ/mol of atoms

```
K2CoSn2
1.0
-1.852 6.588 -0.598
-6.598 -1.884 -0.322
-0.419 0.433 6.066
Co Sn K
2 4 4
Cartesian
-4.225 2.352 -0.460 Co
0.000 0.000 0.000 Co
-2.486 0.509 -0.208 Sn
-5.965 4.195 -0.712 Sn
-6.077 0.604 -0.463 Sn
-2.374 4.100 -0.457 Sn
-6.919 3.081 2.364 K
-3.910 5.055 2.431 K
-1.951 2.056 2.781 K
-4.960 0.082 2.714 K
```


Ba3Hg2N: relaxed, PBE.

excess energy over the best structure of this formula in the dataset: 0.00 eV/f.u.
formation energy (no corrections): -0.43 eV per atom

```
Ba3Hg2N
1.0
-1.222 7.671 -0.323
-6.083 0.359 -4.828
-4.641 -0.486 5.797
Hg Ba N
4 6 2
Cartesian
-4.868 6.225 -0.963 Hg
-3.008 4.192 0.330 Hg
-7.077 1.319 1.609 Hg
-8.937 3.353 0.315 Hg
-3.408 0.961 2.132 Ba
-6.211 6.836 -4.379 Ba
-6.321 4.872 2.524 Ba
-5.625 2.673 -1.879 Ba
-8.538 6.584 -1.487 Ba
-5.734 0.708 5.025 Ba
-6.877 0.789 -3.039 N
-5.069 6.755 3.684 N
```


Mn6Fe5Co: relaxed, PBE.

formation energy: 11.24 kJ/mol of atoms

```
Mn6Fe5Co
1.0
-0.301 3.969 0.194
1.670 0.388 -5.352
-6.376 -2.522 0.779
Mn Fe Co
6 5 1
Cartesian
-3.521 1.853 -2.434 Mn
0.269 2.082 -1.247 Mn
-1.486 -0.017 -1.945 Mn
1.100 2.275 -3.911 Mn
-4.353 1.660 0.233 Mn
-0.654 0.176 -4.612 Mn
-2.047 1.870 -0.503 Fe
-2.960 -0.035 -3.877 Fe
-1.216 2.064 -3.180 Fe
0.835 0.194 -2.676 Fe
-3.790 -0.229 -1.199 Fe
0.000 0.000 0.000 Co
```


Tb5Dy2TmTh: relaxed, PBE.

formation energy: 15.44 kJ/mol of atoms

```
Tb5Dy2TmTh
1.0
-4.471 -0.899 3.415
7.230 -8.082 2.583
3.982 5.709 6.716
Tb Tm Th Dy
10 2 2 4
Cartesian
-0.955 0.415 3.611 Tb
4.669 -5.784 9.341 Tb
3.998 -2.778 4.503 Tb
0.211 -0.156 0.235 Tb
0.589 -2.554 4.851 Tb
5.893 -1.089 7.427 Tb
7.647 -3.757 9.022 Tb
0.944 0.908 6.227 Tb
3.331 0.349 9.205 Tb
4.145 -6.548 3.702 Tb
1.954 -3.130 1.734 Tm
2.929 -2.807 7.847 Tm
5.724 -4.477 6.314 Th
2.400 3.187 8.734 Th
4.122 1.854 5.884 Dy
2.463 -0.097 3.199 Dy
2.309 -5.572 6.307 Dy
4.904 -2.279 10.571 Dy
```


Number 1: size of the total moment 0.4 μB per formula unit. Number 2: size of the total moment 4.2 μB per formula unit. Number 3: size of the total moment 0.0 μB per formula unit. Number 4: size of the total moment 0.0 μB per formula unit. Number 5: size of the total moment 0.0 μB per formula unit. Number 6: size of the total moment 0.0 μB per formula unit. Number 7: size of the total moment 6.5 μB per formula unit. Number 8: size of the total moment 0.0 μB per formula unit. Number 9: size of the total moment 0.0 μB per formula unit. Number 10: size of the total moment 0.0 μB per formula unit. Number 11: size of the total moment 19.5 μB per formula unit. Number 12: size of the total moment 0.0 μB per formula unit.